# Sm5HgS4

Sm5HgS4 after structural relaxation (PBE, the Alexandria database).

Cell: 4.034 7.105 9.163 Å, 75.99 77.28 73.51°
Atoms (fractional coordinates):
S 0.403 0.794 0.400
S 0.203 0.385 0.209
S 0.797 0.615 0.791
S 0.597 0.206 0.600
Sm 0.796 0.096 0.312
Sm 0.387 0.333 0.892
Sm 0.613 0.667 0.108
Sm 0.204 0.904 0.688
Sm 0.000 0.500 0.500
Hg 0.000 0.000 0.000

Calculated values
Space group: No. 12
Energy relative to the elements, uncorrected, eV/atom: -1.681

=====

# Sm3HgS6

Sm3HgS6 after structural relaxation (PBE, the Alexandria database).

Cell: 6.814 8.615 8.615 Å, 101.64 90.00 90.00°
Atoms (fractional coordinates):
Sm 0.389 0.401 0.599
Sm 0.982 0.085 0.281
Sm 0.482 0.281 0.085
Sm 0.982 0.719 0.915
Sm 0.889 0.599 0.401
Sm 0.482 0.915 0.719
S 0.685 0.630 0.693
S 0.685 0.307 0.370
S 0.140 0.774 0.226
S 0.717 0.551 0.091
S 0.217 0.449 0.909
S 0.217 0.091 0.551
S 0.189 0.030 0.970
S 0.717 0.909 0.449
S 0.640 0.226 0.774
S 0.185 0.693 0.630
S 0.689 0.970 0.030
S 0.185 0.370 0.307
Hg 0.000 0.203 0.797
Hg 0.500 0.797 0.203

Calculated values
Space group: No. 36
Energy relative to the elements, uncorrected, eV/atom: -1.475

=====

# Sm2Hg2S

Sm2Hg2S after structural relaxation (PBE, the Alexandria database).

Cell: 3.973 3.970 9.858 Å, 90.02 78.37 59.98°
Atoms (fractional coordinates):
Sm 0.780 0.110 0.331
Sm 0.220 0.890 0.669
Hg 0.402 0.299 0.897
Hg 0.598 0.701 0.103
S 0.000 0.500 0.500

Calculated values
Space group: No. 166
Energy relative to the elements, uncorrected, eV/atom: -0.989

=====

# Sm5Hg2S

Sm5Hg2S after structural relaxation (PBE, the Alexandria database).

Cell: 9.338 7.936 12.386 Å, 90.00 90.00 90.00°
Atoms (fractional coordinates):
S 0.500 0.250 0.500
S 0.000 0.750 0.000
S 0.000 0.250 0.000
S 0.500 0.750 0.500
Sm 0.311 0.000 0.563
Sm 0.811 0.000 0.937
Sm 0.311 0.500 0.563
Sm 0.189 0.000 0.063
Sm 0.689 0.000 0.437
Sm 0.502 0.750 0.001
Sm 0.123 0.750 0.793
Sm 0.998 0.750 0.501
Sm 0.877 0.250 0.207
Sm 0.374 0.250 0.294
Sm 0.377 0.750 0.293
Sm 0.126 0.250 0.794
Sm 0.189 0.500 0.063
Sm 0.689 0.500 0.437
Sm 0.811 0.500 0.937
Sm 0.626 0.750 0.706
Sm 0.002 0.250 0.499
Sm 0.874 0.750 0.206
Sm 0.498 0.250 0.999
Sm 0.623 0.250 0.707
Hg 0.896 0.003 0.680
Hg 0.604 0.003 0.180
Hg 0.604 0.497 0.180
Hg 0.104 0.503 0.320
Hg 0.104 0.997 0.320
Hg 0.896 0.497 0.680
Hg 0.396 0.997 0.820
Hg 0.396 0.503 0.820

Calculated values
Space group: No. 62
Energy relative to the elements, uncorrected, eV/atom: -0.737

=====

# Sm4HgS2

Sm4HgS2 after structural relaxation (PBE, the Alexandria database).

Cell: 4.054 6.913 13.993 Å, 90.00 90.00 107.05°
Atoms (fractional coordinates):
Sm 0.500 0.000 0.500
Sm 0.232 0.463 0.884
Sm 0.768 0.537 0.384
Sm 0.500 0.000 0.000
Sm 0.065 0.131 0.250
Sm 0.935 0.869 0.750
Sm 0.768 0.537 0.116
Sm 0.232 0.463 0.616
Hg 0.613 0.225 0.750
Hg 0.387 0.775 0.250
S 0.134 0.269 0.060
S 0.866 0.731 0.560
S 0.134 0.269 0.440
S 0.866 0.731 0.940

Calculated values
Space group: No. 63
Energy relative to the elements, uncorrected, eV/atom: -1.308

=====

# Sm6HgS3

Sm6HgS3 after structural relaxation (PBE, the Alexandria database).

Cell: 3.956 12.051 12.179 Å, 111.22 90.00 90.00°
Atoms (fractional coordinates):
Hg 0.250 0.379 0.124
Hg 0.750 0.621 0.876
Sm 0.750 0.154 0.554
Sm 0.250 0.063 0.770
Sm 0.250 0.846 0.446
Sm 0.750 0.757 0.661
Sm 0.250 0.475 0.659
Sm 0.750 0.363 0.894
Sm 0.750 0.937 0.230
Sm 0.750 0.525 0.341
Sm 0.250 0.243 0.339
Sm 0.250 0.842 0.940
Sm 0.250 0.637 0.106
Sm 0.750 0.158 0.060
S 0.750 0.957 0.860
S 0.750 0.368 0.494
S 0.250 0.274 0.724
S 0.250 0.632 0.506
S 0.750 0.726 0.276
S 0.250 0.043 0.140

Calculated values
Space group: No. 11
Energy relative to the elements, uncorrected, eV/atom: -1.263

=====

# Sm2HgS4

Sm2HgS4 after structural relaxation (PBE, the Alexandria database).

Cell: 4.333 8.613 10.861 Å, 76.13 78.49 75.43°
Atoms (fractional coordinates):
S 0.764 0.853 0.619
S 0.424 0.504 0.648
S 0.797 0.347 0.058
S 0.035 0.203 0.727
S 0.203 0.653 0.942
S 0.236 0.147 0.381
S 0.965 0.797 0.273
S 0.576 0.496 0.352
Hg 0.883 0.071 0.163
Hg 0.117 0.929 0.837
Sm 0.164 0.470 0.203
Sm 0.377 0.787 0.458
Sm 0.623 0.213 0.542
Sm 0.836 0.530 0.797

Calculated values
Space group: No. 12
Energy relative to the elements, uncorrected, eV/atom: -1.492

=====

# Sn2Hg2S

Sn2Hg2S after structural relaxation (PBE, the Alexandria database).

Cell: 7.489 7.489 4.832 Å, 90.00 90.00 90.00°
Atoms (fractional coordinates):
Sn 0.331 0.831 0.000
Sn 0.169 0.331 0.000
Sn 0.669 0.169 0.000
Sn 0.831 0.669 0.000
Hg 0.347 0.153 0.500
Hg 0.847 0.347 0.500
Hg 0.153 0.653 0.500
Hg 0.653 0.847 0.500
S 0.500 0.500 0.000
S 0.000 0.000 0.000

Calculated values
Space group: No. 127
Energy relative to the elements, uncorrected, eV/atom: 0.002